Material: CsTlPb
Method: DFT, PBE
State: optimized geometry

symmetry	No. 63
energy	-2.3751	eV per atom
calculated formation energy	-0.07	eV/atom

abc: 5.775 14.476 6.394
angles: 90.00 90.00 90.00
Element x y z (fractional)
Cs 0.000 0.222 0.250
Cs 0.000 0.778 0.750
Cs 0.500 0.278 0.750
Cs 0.500 0.722 0.250
Tl 0.000 0.500 0.000
Tl 0.000 0.500 0.500
Tl 0.500 0.000 0.000
Tl 0.500 0.000 0.500
Pb 0.000 0.051 0.750
Pb 0.000 0.949 0.250
Pb 0.500 0.449 0.250
Pb 0.500 0.551 0.750